# 1
Here is a relaxed RbInTe2 crystal from Alexandria via LeMat-Bulk. Energies are from PBE.

Cell: 8.9821 8.9821 8.9821 Å, 28.61 28.61 28.61°
With the nearest neighbours (Å) after each atom.
Fractional positions:
Rb1 0.0000 0.0000 0.0000  6 Te 3.68-3.70
In1 0.8335 0.8335 0.8335  6 Te 3.04-3.05
Te1 0.2310 0.2310 0.2310  3 In 3.05
Te2 0.4367 0.4367 0.4367  3 In 3.04

Properties
* E_form (uncorrected): -56.7 kJ/mol of atoms
* M_tot: 0.00 μB per cell

***

# 2
Here is a relaxed RbInTe2 crystal from Alexandria via LeMat-Bulk. Energies are from PBE.

Cell: 7.7398 7.7398 7.7398 Å, 114.32 114.32 100.16°
With the nearest neighbours (Å) after each atom.
Fractional positions:
Rb1 0.0000 0.0000 0.0000  4 Te 3.69
Rb2 0.7500 0.2500 0.5000  4 Te 3.69
In1 0.2500 0.7500 0.5000  4 Te 2.83
In2 0.5000 0.5000 0.0000  4 Te 2.83
Te1 0.2042 0.6250 0.0792  2 In 2.83
Te2 0.3750 0.4542 0.5792  2 In 2.83
Te3 0.5458 0.1250 0.9208  2 In 2.83
Te4 0.8750 0.7958 0.4208  2 In 2.83

Properties
* DOS(E_F): 0.00 states/eV/cell
* E_form (uncorrected): -65.3 kJ/mol of atoms
* M_tot: 0.00 μB per cell

***

# 3
Here is a relaxed Rb3In5Te12 crystal from Alexandria via LeMat-Bulk. Energies are from PBE.

Cell: 16.7199 16.7199 16.7199 Å, 109.47 109.47 109.47°
With the nearest neighbours (Å) after each atom.
Fractional positions:
Rb1 0.1250 0.2500 0.3750  4 Te 3.60
Rb2 0.1250 0.3750 0.7500  4 Te 3.60
Rb3 0.2500 0.3750 0.1250  4 Te 3.60
Rb4 0.2500 0.8750 0.6250  4 Te 3.60
Rb5 0.3750 0.1250 0.2500  4 Te 3.60
Rb6 0.3750 0.7500 0.1250  4 Te 3.60
Rb7 0.6250 0.2500 0.8750  4 Te 3.60
Rb8 0.6250 0.8750 0.7500  4 Te 3.60
Rb9 0.7500 0.1250 0.3750  4 Te 3.60
Rb10 0.7500 0.6250 0.8750  4 Te 3.60
Rb11 0.8750 0.6250 0.2500  4 Te 3.60
Rb12 0.8750 0.7500 0.6250  4 Te 3.60
In1 0.0000 0.0000 0.0000  6 Te 3.19
In2 0.0000 0.0000 0.5000  6 Te 3.19
In3 0.0000 0.5000 0.0000  6 Te 3.19
In4 0.0000 0.5000 0.5000  6 Te 3.19
In5 0.1250 0.7500 0.8750  4 Te 2.96
In6 0.1250 0.8750 0.2500  4 Te 2.96
In7 0.2500 0.1250 0.8750  4 Te 2.96
In8 0.2500 0.6250 0.3750  4 Te 2.96
In9 0.3750 0.2500 0.6250  4 Te 2.96
In10 0.3750 0.6250 0.7500  4 Te 2.96
In11 0.5000 0.0000 0.0000  6 Te 3.19
In12 0.5000 0.0000 0.5000  6 Te 3.19
In13 0.5000 0.5000 0.0000  6 Te 3.19
In14 0.5000 0.5000 0.5000  6 Te 3.19
In15 0.6250 0.3750 0.2500  4 Te 2.96
In16 0.6250 0.7500 0.3750  4 Te 2.96
In17 0.7500 0.3750 0.6250  4 Te 2.96
In18 0.7500 0.8750 0.1250  4 Te 2.96
In19 0.8750 0.1250 0.7500  4 Te 2.96
In20 0.8750 0.2500 0.1250  4 Te 2.96
Te1 0.0084 0.2065 0.0620  1 Te 2.89, 2 In 2.96-3.19
Te2 0.0084 0.3019 0.9465  1 Te 2.89, 2 In 2.96-3.19
Te3 0.0535 0.5620 0.3555  1 Te 2.89, 2 In 2.96-3.19
Te4 0.0535 0.9916 0.6981  1 Te 2.89, 2 In 2.96-3.19
Te5 0.0620 0.0084 0.2065  1 Te 2.89, 2 In 2.96-3.19
Te6 0.0620 0.5535 0.8555  1 Te 2.89, 2 In 2.96-3.19
Te7 0.1445 0.7065 0.6981  1 Te 2.89, 2 In 2.96-3.19
Te8 0.1445 0.9380 0.4465  1 Te 2.89, 2 In 2.96-3.19
Te9 0.1981 0.2065 0.6445  1 Te 2.89, 2 In 2.96-3.19
Te10 0.1981 0.4916 0.5535  1 Te 2.89, 2 In 2.96-3.19
Te11 0.2065 0.0620 0.0084  1 Te 2.89, 2 In 2.96-3.19
Te12 0.2065 0.6445 0.1981  1 Te 2.89, 2 In 2.96-3.19
Te13 0.2935 0.3019 0.8555  1 Te 2.89, 2 In 2.96-3.19
Te14 0.2935 0.4916 0.4380  1 Te 2.89, 2 In 2.96-3.19
Te15 0.3019 0.8555 0.2935  1 Te 2.89, 2 In 2.96-3.19
Te16 0.3019 0.9465 0.0084  1 Te 2.89, 2 In 2.96-3.19
Te17 0.3555 0.0535 0.5620  1 Te 2.89, 2 In 2.96-3.19
Te18 0.3555 0.8019 0.7935  1 Te 2.89, 2 In 2.96-3.19
Te19 0.4380 0.2935 0.4916  1 Te 2.89, 2 In 2.96-3.19
Te20 0.4380 0.6445 0.9465  1 Te 2.89, 2 In 2.96-3.19
Te21 0.4465 0.1445 0.9380  1 Te 2.89, 2 In 2.96-3.19
Te22 0.4465 0.8019 0.5084  1 Te 2.89, 2 In 2.96-3.19
Te23 0.4916 0.4380 0.2935  1 Te 2.89, 2 In 2.96-3.19
Te24 0.4916 0.5535 0.1981  1 Te 2.89, 2 In 2.96-3.19
Te25 0.5084 0.4465 0.8019  1 Te 2.89, 2 In 2.96-3.19
Te26 0.5084 0.5620 0.7065  1 Te 2.89, 2 In 2.96-3.19
Te27 0.5535 0.1981 0.4916  1 Te 2.89, 2 In 2.96-3.19
Te28 0.5535 0.8555 0.0620  1 Te 2.89, 2 In 2.96-3.19
Te29 0.5620 0.3555 0.0535  1 Te 2.89, 2 In 2.96-3.19
Te30 0.5620 0.7065 0.5084  1 Te 2.89, 2 In 2.96-3.19
Te31 0.6445 0.1981 0.2065  1 Te 2.89, 2 In 2.96-3.19
Te32 0.6445 0.9465 0.4380  1 Te 2.89, 2 In 2.96-3.19
Te33 0.6981 0.0535 0.9916  1 Te 2.89, 2 In 2.96-3.19
Te34 0.6981 0.1445 0.7065  1 Te 2.89, 2 In 2.96-3.19
Te35 0.7065 0.5084 0.5620  1 Te 2.89, 2 In 2.96-3.19
Te36 0.7065 0.6981 0.1445  1 Te 2.89, 2 In 2.96-3.19
Te37 0.7935 0.3555 0.8019  1 Te 2.89, 2 In 2.96-3.19
Te38 0.7935 0.9380 0.9916  1 Te 2.89, 2 In 2.96-3.19
Te39 0.8019 0.5084 0.4465  1 Te 2.89, 2 In 2.96-3.19
Te40 0.8019 0.7935 0.3555  1 Te 2.89, 2 In 2.96-3.19
Te41 0.8555 0.0620 0.5535  1 Te 2.89, 2 In 2.96-3.19
Te42 0.8555 0.2935 0.3019  1 Te 2.89, 2 In 2.96-3.19
Te43 0.9380 0.4465 0.1445  1 Te 2.89, 2 In 2.96-3.19
Te44 0.9380 0.9916 0.7935  1 Te 2.89, 2 In 2.96-3.19
Te45 0.9465 0.0084 0.3019  1 Te 2.89, 2 In 2.96-3.19
Te46 0.9465 0.4380 0.6445  1 Te 2.89, 2 In 2.96-3.19
Te47 0.9916 0.6981 0.0535  1 Te 2.89, 2 In 2.96-3.19
Te48 0.9916 0.7935 0.9380  1 Te 2.89, 2 In 2.96-3.19

Properties
* DOS(E_F): 17.22 states/eV/cell
* E_form (uncorrected): -27.3 kJ/mol of atoms
* M_tot: 0.00 μB per cell

***

# 4
Here is a relaxed RbIn2Te4 crystal from Alexandria via LeMat-Bulk. Energies are from PBE.

Cell: 7.2504 7.2504 12.7061 Å, 90.00 90.00 118.55°
With the nearest neighbours (Å) after each atom.
Fractional positions:
Rb1 0.0000 0.0000 0.2500  8 Te 3.77-3.78
Rb2 0.0000 0.0000 0.7500  8 Te 3.77-3.78
In1 0.2537 0.7461 0.0000  4 Te 2.83-2.85
In2 0.2539 0.7463 0.5000  4 Te 2.83-2.85
In3 0.7463 0.2539 0.0000  4 Te 2.83-2.85
In4 0.7461 0.2537 0.5000  4 Te 2.83-2.85
Te1 0.0000 0.5000 0.3306  2 In 2.84
Te2 0.0000 0.5000 0.6694  2 In 2.84
Te3 0.1680 0.3225 0.0000  2 In 2.83-2.85
Te4 0.3225 0.1680 0.5000  2 In 2.83-2.85
Te5 0.5000 0.0000 0.1694  2 In 2.84
Te6 0.5000 0.0000 0.8306  2 In 2.84
Te7 0.6775 0.8320 0.5000  2 In 2.83-2.85
Te8 0.8320 0.6775 0.0000  2 In 2.83-2.85

Properties
* DOS(E_F): 16.64 states/eV/cell
* E_form (uncorrected): -40.0 kJ/mol of atoms
* M_tot: 0.00 μB per cell

***

# 5
Here is a relaxed Rb2In2Te crystal from Alexandria via LeMat-Bulk. Energies are from PBE.

Cell: 8.2829 8.2829 6.0206 Å, 90.00 90.00 90.00°
With the nearest neighbours (Å) after each atom.
Fractional positions:
Rb1 0.1880 0.3120 0.0000  6 In 3.73-4.00
Rb2 0.3120 0.8120 0.0000  6 In 3.73-4.00
Rb3 0.6880 0.1880 0.0000  6 In 3.73-4.00
Rb4 0.8120 0.6880 0.0000  6 In 3.73-4.00
In1 0.1241 0.6241 0.5000  1 In 2.91
In2 0.3759 0.1241 0.5000  1 In 2.91
In3 0.6241 0.8759 0.5000  1 In 2.91
In4 0.8759 0.3759 0.5000  1 In 2.91
Te1 0.0000 0.0000 0.5000  4 In 3.28
Te2 0.5000 0.5000 0.5000  4 In 3.28

Properties
* DOS(E_F): 2.78 states/eV/cell
* E_form (uncorrected): -24.3 kJ/mol of atoms
* M_tot: 0.00 μB per cell

***

# 6
Here is a relaxed Rb2InTe2 crystal from Alexandria via LeMat-Bulk. Energies are from PBE.

Cell: 9.7730 9.7730 8.6293 Å, 90.00 90.00 147.04°
With the nearest neighbours (Å) after each atom.
Fractional positions:
Rb1 0.0298 0.9702 0.5000  6 Te 3.56-3.83, 2 In 3.80
Rb2 0.2051 0.7949 0.7861  5 Te 3.61-3.93, 1 In 3.98
Rb3 0.7949 0.2051 0.2861  5 Te 3.61-3.93, 1 In 3.98
Rb4 0.9702 0.0298 0.0000  6 Te 3.56-3.83, 2 In 3.80
In1 0.4065 0.5935 0.6391  4 Te 3.03-3.11
In2 0.5935 0.4065 0.1391  4 Te 3.03-3.11
Te1 0.1547 0.8453 0.1896  2 In 3.03
Te2 0.4438 0.5562 0.2881  2 In 3.09-3.11
Te3 0.5562 0.4438 0.7881  2 In 3.09-3.11
Te4 0.8453 0.1547 0.6896  2 In 3.03

Properties
* DOS(E_F): 1.72 states/eV/cell
* E_form (uncorrected): -74.3 kJ/mol of atoms
* M_tot: 0.00 μB per cell

***

# 7
Here is a relaxed RbInTe2 crystal from Alexandria via LeMat-Bulk. Energies are from PBE.

Cell: 8.8959 8.8959 17.6588 Å, 96.71 96.71 89.81°
With the nearest neighbours (Å) after each atom.
Fractional positions:
Rb1 0.1501 0.8066 0.6063  6 Te 3.70-4.03
Rb2 0.1934 0.8499 0.8937  6 Te 3.70-4.03
Rb3 0.2390 0.3445 0.8812  7 Te 3.80-4.06
Rb4 0.3445 0.2390 0.3812  7 Te 3.80-4.06
Rb5 0.6555 0.7610 0.6188  7 Te 3.80-4.06
Rb6 0.7610 0.6555 0.1188  7 Te 3.80-4.06
Rb7 0.8066 0.1501 0.1063  6 Te 3.70-4.03
Rb8 0.8499 0.1934 0.3937  6 Te 3.70-4.03
In1 0.0877 0.7038 0.3403  4 Te 2.82-2.84
In2 0.2962 0.9123 0.1597  4 Te 2.82-2.84
In3 0.2973 0.4165 0.1621  4 Te 2.82-2.84
In4 0.4165 0.2973 0.6621  4 Te 2.82-2.84
In5 0.5835 0.7027 0.3379  4 Te 2.82-2.84
In6 0.7027 0.5835 0.8379  4 Te 2.82-2.84
In7 0.7038 0.0877 0.8403  4 Te 2.82-2.84
In8 0.9123 0.2962 0.6597  4 Te 2.82-2.84
Te1 0.0461 0.4231 0.2470  2 In 2.83
Te2 0.0541 0.9459 0.2500  2 In 2.82
Te3 0.1430 0.2544 0.5614  2 In 2.84
Te4 0.2544 0.1430 0.0614  2 In 2.84
Te5 0.3052 0.6396 0.0611  2 In 2.82
Te6 0.3604 0.6948 0.4389  2 In 2.82
Te7 0.4144 0.5856 0.7500  2 In 2.84
Te8 0.4231 0.0461 0.7470  2 In 2.83
Te9 0.5769 0.9539 0.2530  2 In 2.83
Te10 0.5856 0.4144 0.2500  2 In 2.84
Te11 0.6396 0.3052 0.5611  2 In 2.82
Te12 0.6948 0.3604 0.9389  2 In 2.82
Te13 0.7456 0.8570 0.9386  2 In 2.84
Te14 0.8570 0.7456 0.4386  2 In 2.84
Te15 0.9459 0.0541 0.7500  2 In 2.82
Te16 0.9539 0.5769 0.7530  2 In 2.83

Properties
* E_form (uncorrected): -68.6 kJ/mol of atoms
* M_tot: 0.00 μB per cell

***

# 8
Here is a relaxed Rb3InTe2 crystal from Alexandria via LeMat-Bulk. Energies are from PBE.

Cell: 10.5176 10.5176 10.5176 Å, 131.33 71.55 131.00°
With the nearest neighbours (Å) after each atom.
Fractional positions:
Rb1 0.0126 0.7500 0.2626  4 Te 3.68-3.72
Rb2 0.2500 0.2500 0.0000  4 Te 3.70
Rb3 0.4874 0.7500 0.7374  4 Te 3.68-3.72
Rb4 0.5126 0.2500 0.2626  4 Te 3.68-3.72
Rb5 0.7500 0.7500 0.0000  4 Te 3.70
Rb6 0.9874 0.2500 0.7374  4 Te 3.68-3.72
In1 0.0000 0.5000 0.5000  2 Te 3.22
In2 0.5000 0.0000 0.5000  2 Te 3.22
Te1 0.1303 0.2306 0.3609  1 In 3.22
Te2 0.3697 0.7306 0.1003  1 In 3.22
Te3 0.6303 0.2694 0.8997  1 In 3.22
Te4 0.8697 0.7694 0.6391  1 In 3.22

Properties
* E_form (uncorrected): -66.0 kJ/mol of atoms
* M_tot: 0.00 μB per cell